DFT (meta-GGA SCAN) results for a crystal of La4TcAs relaxed with PBEsol.

Unit cell a=8.5701 b=8.5701 c=8.5701 alpha=90.00 beta=90.00 gamma=90.00
Last column: nearest neighbours and their distance in Å.
Space group F-43m (No. 216)
Symmetry-distinct sites (fractional):
La  0.1253  0.1253  0.1253 x16  6 La 3.02-3.04
Tc  0.0000  0.0000  0.5000 x4  12 La 3.55, 4 As 3.71
As  0.2500  0.2500  0.7500 x4  12 La 3.55, 4 Tc 3.71

Results
Total energy   -37.33 eV/atom

=====

DFT (meta-GGA SCAN) results for a crystal of ZrAlAs3 relaxed with PBEsol.

Unit cell a=4.7282 b=4.7282 c=4.7282 alpha=90.00 beta=90.00 gamma=90.00
Last column: nearest neighbours and their distance in Å.
Space group Pm-3m (No. 221)
Symmetry-distinct sites (fractional):
Zr  0.0000  0.0000  0.0000 x1  12 As 3.34
Al  0.5000  0.5000  0.5000 x1  6 As 2.36
As  0.0000  0.5000  0.5000 x3  2 Al 2.36

Results
Total energy   -19.42 eV/atom

=====

DFT (meta-GGA SCAN) results for a crystal of Ca4CrIr relaxed with PBEsol.

Unit cell a=8.4148 b=8.4148 c=8.4148 alpha=90.00 beta=90.00 gamma=90.00
Last column: nearest neighbours and their distance in Å.
Space group F-43m (No. 216)
Symmetry-distinct sites (fractional):
Ca  0.1238  0.1238  0.1238 x16  6 Ca 2.95-3.00
Cr  0.0000  0.0000  0.5000 x4  12 Ca 3.49, 4 Ir 3.64
Ir  0.2500  0.2500  0.7500 x4  12 Ca 3.49, 4 Cr 3.64

Results
Total energy   -20.47 eV/atom

=====

DFT (meta-GGA SCAN) results for a crystal of RbTlF2 relaxed with PBEsol.

Unit cell a=6.0950 b=6.0950 c=12.0404 alpha=90.00 beta=90.00 gamma=90.00
Last column: nearest neighbours and their distance in Å.
Space group I-42d (No. 122)
Symmetry-distinct sites (fractional):
Rb  0.0000  0.0000  0.0000 x4  4 F 2.68
Tl  0.0000  0.0000  0.5000 x4  4 F 2.58
F  0.2362  0.2500  0.6250 x8  2 Tl 2.58, 2 Rb 2.68

Results
Total energy   -27.25 eV/atom
Energy above the most stable polymorph in this dataset   19 meV/atom
Formation energy without anion corrections   -2.205 eV/atom

=====

DFT (meta-GGA SCAN) results for a crystal of In2AsPt relaxed with PBEsol.

Unit cell a=4.2542 b=4.2542 c=8.5158 alpha=90.00 beta=90.00 gamma=90.00
Last column: nearest neighbours and their distance in Å.
Space group I-4m2 (No. 119)
Symmetry-distinct sites (fractional):
In  0.0000  0.0000  0.0000 x2  4 Pt 3.01, 4 In 3.01, 4 As 3.01
In  0.0000  0.5000  0.2500 x2  4 As 3.01, 4 Pt 3.01, 4 In 3.01
As  0.0000  0.5000  0.7500 x2  8 In 3.01, 4 Pt 3.01
Pt  0.0000  0.0000  0.5000 x2  8 In 3.01, 4 As 3.01

Results
Total energy   -39.21 eV/atom

=====

DFT (meta-GGA SCAN) results for a crystal of Cd2AgHg relaxed with PBEsol.

Unit cell a=3.0854 b=3.0854 c=8.2674 alpha=90.00 beta=90.00 gamma=90.00
Last column: nearest neighbours and their distance in Å.
Space group P4/mmm (No. 123)
Symmetry-distinct sites (fractional):
Cd  0.0000  0.0000  0.2343 x2  4 Ag 2.92, 4 Cd 3.09, 4 Hg 3.10
Ag  0.5000  0.5000  0.0000 x1  8 Cd 2.92, 4 Ag 3.09
Hg  0.5000  0.5000  0.5000 x1  4 Hg 3.09, 8 Cd 3.10

Results
Total energy   -40.09 eV/atom

=====

DFT (meta-GGA SCAN) results for a crystal of MoIr2 relaxed with PBEsol.

Unit cell a=3.8648 b=11.5604 c=3.8567 alpha=90.00 beta=90.00 gamma=90.00
Last column: nearest neighbours and their distance in Å.
Space group Cmcm (No. 63)
Symmetry-distinct sites (fractional):
Mo  0.0000  0.0870  0.2500 x4  10 Ir 2.69-2.74, 2 Mo 2.79
Ir  0.0000  0.2506  0.7500 x4  4 Mo 2.69-2.70, 8 Ir 2.73-2.76
Ir  0.0000  0.4192  0.2500 x4  6 Ir 2.68-2.76, 6 Mo 2.73-2.74

Results
Total energy   -59.35 eV/atom

=====

DFT (meta-GGA SCAN) results for a crystal of TiBOF2 relaxed with PBEsol.

Unit cell a=3.9715 b=3.9715 c=3.7802 alpha=90.00 beta=90.00 gamma=90.00
Last column: nearest neighbours and their distance in Å.
Space group P4/mmm (No. 123)
Symmetry-distinct sites (fractional):
Ti  0.0000  0.0000  0.0000 x1  2 O 1.89, 4 F 1.99
B  0.5000  0.5000  0.5000 x1  8 F 2.74, 4 O 2.81
O  0.0000  0.0000  0.5000 x1  2 Ti 1.89
F  0.0000  0.5000  0.0000 x2  2 Ti 1.99

Results
Total energy   -8.92 eV/atom
Formation energy without anion corrections   -1.568 eV/atom

=====

DFT (meta-GGA SCAN) results for a crystal of CdBiC2 relaxed with PBEsol.

Unit cell a=5.2622 b=5.2622 c=10.2711 alpha=90.00 beta=90.00 gamma=90.00
Last column: nearest neighbours and their distance in Å.
Space group I-42d (No. 122)
Symmetry-distinct sites (fractional):
Cd  0.0000  0.0000  0.0000 x4  4 C 2.25
Bi  0.0000  0.0000  0.5000 x4  4 C 2.27
C  0.2472  0.2500  0.1250 x8  2 Cd 2.25, 2 Bi 2.27

Results
Total energy   -30.63 eV/atom

=====

DFT (meta-GGA SCAN) results for a crystal of SmGa2Pd2 relaxed with PBEsol.

Unit cell a=4.1185 b=4.1185 c=10.6367 alpha=90.00 beta=90.00 gamma=90.00
Last column: nearest neighbours and their distance in Å.
Space group I4/mmm (No. 139)
Symmetry-distinct sites (fractional):
Sm  0.0000  0.0000  0.0000 x2  8 Ga 3.17, 8 Pd 3.36
Ga  0.0000  0.0000  0.3821 x4  4 Pd 2.49, 1 Ga 2.51
Pd  0.0000  0.5000  0.2500 x4  4 Ga 2.49

Results
Total energy   -29.41 eV/atom

=====

DFT (meta-GGA SCAN) results for a crystal of MgCdHg2 relaxed with PBEsol.

Unit cell a=7.0132 b=7.0132 c=7.0132 alpha=90.00 beta=90.00 gamma=90.00
Last column: nearest neighbours and their distance in Å.
Space group F-43m (No. 216)
Symmetry-distinct sites (fractional):
Mg  0.0000  0.0000  0.0000 x4  4 Hg 3.04, 4 Cd 3.04
Cd  0.2500  0.2500  0.2500 x4  4 Hg 3.04, 4 Mg 3.04
Hg  0.0000  0.0000  0.5000 x4  4 Hg 3.04, 4 Cd 3.04
Hg  0.2500  0.2500  0.7500 x4  4 Hg 3.04, 4 Mg 3.04

Results
Total energy   -42.96 eV/atom

=====

DFT (meta-GGA SCAN) results for a crystal of KBr8 relaxed with PBEsol.

Unit cell a=12.7652 b=12.7652 c=3.9774 alpha=90.00 beta=90.00 gamma=90.00
Last column: nearest neighbours and their distance in Å.
Space group I4/mmm (No. 139)
Symmetry-distinct sites (fractional):
K  0.0000  0.0000  0.0000 x2  4 Br 3.01
Br  0.0000  0.2354  0.0000 x8  4 Br 2.99, 1 K 3.01
Br  0.1547  0.1547  0.5000 x8  4 Br 2.99

Results
Total energy   -18.19 eV/atom
Formation energy without anion corrections   0.033 eV/atom

=====

Calculated values (kg/m³) of calculated density for the records, taken in order: 7688; 5388; 4509; 4869; 10766; 11251; 18517; 3138; 8067; 9253; 10358; 3476.